YTl2Pd PBE-GGA relaxed; Fermi-level density of states = 0.58 states/eV/atom; formation energy = -0.44 eV per atom; VASP energy = -4.53 eV per atom; symmetry = No. 139; volume = 381.7 Å³ per cell; M_tot = 0.000 μB/cell
1.0
4.840 0.000 0.000
0.000 4.840 0.000
0.000 0.000 16.298
Y Tl Pd
4 8 4
Direct
0.000 0.000 0.141 Y
0.000 0.000 0.859 Y
0.500 0.500 0.359 Y
0.500 0.500 0.641 Y
0.000 0.000 0.349 Tl
0.000 0.000 0.651 Tl
0.000 0.500 0.000 Tl
0.000 0.500 0.500 Tl
0.500 0.000 0.000 Tl
0.500 0.000 0.500 Tl
0.500 0.500 0.151 Tl
0.500 0.500 0.849 Tl
0.000 0.500 0.250 Pd
0.000 0.500 0.750 Pd
0.500 0.000 0.250 Pd
0.500 0.000 0.750 Pd



Y2TlPd2 PBE-GGA relaxed; Fermi-level density of states = 0.72 states/eV/atom; formation energy = -0.55 eV per atom; VASP energy = -5.69 eV per atom; symmetry = No. 139; volume = 246.1 Å³ per cell; M_tot = 0.000 μB/cell
1.0
5.460 0.000 0.000
0.000 5.460 0.000
0.000 0.000 8.256
Y Tl Pd
4 2 4
Direct
0.000 0.500 0.250 Y
0.000 0.500 0.750 Y
0.500 0.000 0.250 Y
0.500 0.000 0.750 Y
0.000 0.000 0.000 Tl
0.500 0.500 0.500 Tl
0.000 0.000 0.347 Pd
0.000 0.000 0.653 Pd
0.500 0.500 0.153 Pd
0.500 0.500 0.847 Pd



Y2TlPd2 PBE-GGA relaxed; Fermi-level density of states = 0.74 states/eV/atom; formation energy = -0.52 eV per atom; VASP energy = -5.65 eV per atom; symmetry = No. 139; volume = 246.2 Å³ per cell; M_tot = 0.000 μB/cell
1.0
3.869 0.000 0.000
0.000 3.869 0.000
0.000 0.000 16.448
Y Tl Pd
4 2 4
Direct
0.000 0.000 0.121 Y
0.000 0.000 0.879 Y
0.500 0.500 0.379 Y
0.500 0.500 0.621 Y
0.000 0.000 0.500 Tl
0.500 0.500 0.000 Tl
0.000 0.500 0.250 Pd
0.000 0.500 0.750 Pd
0.500 0.000 0.250 Pd
0.500 0.000 0.750 Pd